(1)
{"formula": "TiBeCu", "functional": "PBE", "state": "relaxed", "density_g_cm3": 5.40, "m_tot_mub_per_fu": 0.00, "spacegroup": "Pmma", "de_polymorph_ev_per_fu": 0.000, "e_form_ev_per_atom": -0.1248, "lattice_angstrom": [[11.042, 0.000, 0.000], [0.000, 3.236, 0.000], [0.000, 0.000, 6.214]], "species": ["Ti", "Ti", "Ti", "Ti", "Ti", "Ti", "Be", "Be", "Be", "Be", "Be", "Be", "Cu", "Cu", "Cu", "Cu", "Cu", "Cu"], "frac_coords": [[0.040, 0.000, 0.244], [0.250, 0.000, 0.855], [0.460, 0.000, 0.244], [0.540, 0.000, 0.756], [0.750, 0.000, 0.145], [0.960, 0.000, 0.756], [0.092, 0.500, 0.952], [0.250, 0.000, 0.442], [0.408, 0.500, 0.952], [0.592, 0.500, 0.048], [0.750, 0.000, 0.558], [0.908, 0.500, 0.048], [0.121, 0.500, 0.572], [0.250, 0.500, 0.197], [0.379, 0.500, 0.572], [0.621, 0.500, 0.428], [0.750, 0.500, 0.803], [0.879, 0.500, 0.428]]}

---

(2)
{"formula": "CeThOs", "functional": "PBE", "state": "relaxed", "density_g_cm3": 12.60, "m_tot_mub_per_fu": 0.00, "spacegroup": "P3m1", "de_polymorph_ev_per_fu": 0.482, "e_form_ev_per_atom": -0.0818, "lattice_angstrom": [[4.526, 0.000, 0.000], [-2.263, 3.920, 0.000], [0.000, 0.000, 4.178]], "species": ["Ce", "Th", "Os"], "frac_coords": [[0.000, 0.000, 0.000], [0.333, 0.667, 0.414], [0.667, 0.333, 0.715]]}